No. 1
Compound: TbTmLuPa
Source: Alexandria
Functional: PBE
Structure: relaxed

a = 5.506 Å, b = 5.506 Å, c = 5.506 Å
α = 60.00°, β = 60.00°, γ = 60.00°
Atoms (fractional coordinates):
Tb (0.000, 0.000, 0.000)
Tm (0.500, 0.500, 0.500)
Lu (0.250, 0.250, 0.250)
Pa (0.750, 0.750, 0.750)

The calculation puts the total energy at -5.436 eV/atom.

=====

No. 2
Compound: Th4SnTe2Se
Source: Alexandria
Functional: PBE
Structure: relaxed

a = 7.515 Å, b = 4.475 Å, c = 7.789 Å
α = 90.00°, β = 110.01°, γ = 90.00°
Atoms (fractional coordinates):
Th (0.226, 0.000, 0.225)
Th (0.238, 0.500, 0.766)
Th (0.762, 0.500, 0.234)
Th (0.774, 0.000, 0.775)
Sn (0.500, 0.000, 0.000)
Te (0.000, 0.000, 0.500)
Te (0.500, 0.500, 0.500)
Se (0.000, 0.500, 0.000)

For the formation energy (no corrections), the calculation gives -1.034 eV/atom. The calculation puts the total energy at -6.465 eV/atom.

=====

No. 3
Compound: LaZnCuSi2
Source: Alexandria
Functional: PBE
Structure: relaxed

a = 5.857 Å, b = 5.857 Å, c = 5.857 Å
α = 137.83°, β = 137.83°, γ = 61.16°
Atoms (fractional coordinates):
La (0.000, 0.000, 0.000)
Zn (0.750, 0.250, 0.500)
Cu (0.250, 0.750, 0.500)
Si (0.381, 0.381, 0.000)
Si (0.619, 0.619, 0.000)

For the formation energy (no corrections), the calculation gives -0.524 eV/atom. The calculation puts the total energy at -4.753 eV/atom.

=====

No. 4
Compound: PmHo2Pd
Source: Alexandria
Functional: PBE
Structure: relaxed

a = 9.997 Å, b = 9.997 Å, c = 9.997 Å
α = 21.26°, β = 21.26°, γ = 21.26°
Atoms (fractional coordinates):
Pm (0.000, 0.000, 0.000)
Ho (0.231, 0.231, 0.231)
Ho (0.769, 0.769, 0.769)
Pd (0.500, 0.500, 0.500)

The calculation puts the total energy at -5.080 eV/atom.

=====

No. 5
Compound: ScRe3
Source: Alexandria
Functional: PBE
Structure: relaxed

a = 2.776 Å, b = 4.454 Å, c = 5.192 Å
α = 90.00°, β = 100.81°, γ = 90.00°
Atoms (fractional coordinates):
Sc (0.000, 0.000, 0.000)
Re (0.262, 0.500, 0.750)
Re (0.500, 0.000, 0.500)
Re (0.738, 0.500, 0.250)

The calculation puts the total energy at -10.911 eV/atom.

=====

No. 6
Compound: Re3PdCl
Source: Alexandria
Functional: PBE
Structure: relaxed

a = 4.824 Å, b = 4.824 Å, c = 4.824 Å
α = 90.00°, β = 90.00°, γ = 90.00°
Atoms (fractional coordinates):
Re (0.000, 0.000, 0.500)
Re (0.000, 0.500, 0.000)
Re (0.500, 0.000, 0.000)
Pd (0.000, 0.000, 0.000)
Cl (0.500, 0.500, 0.500)

For the formation energy (no corrections), the calculation gives 2.882 eV/atom. The calculation puts the total energy at -5.995 eV/atom.